A plane-wave DFT calculation with GGA-PBE was carried out for crystalline ZrMnSi3 at its relaxed geometry.

Unit cell a=4.394 b=4.394 c=4.394 alpha=90.00 beta=90.00 gamma=90.00
Space group Pm-3m (No. 221)
Inequivalent atoms, fractional coordinates:
Zr  0.000  0.000  0.000 [1 per cell]
Mn  0.500  0.500  0.500 [1 per cell]
Si  0.000  0.500  0.500 [3 per cell]

Computed properties:
Its raw formation energy is 0.272 eV per atom.

***

A plane-wave DFT calculation with GGA-PBE was carried out for crystalline Cd2TcSn at its relaxed geometry.

Unit cell a=2.9382 b=2.9382 c=35.1401 alpha=90.00 beta=90.00 gamma=120.00
Space group R-3m (No. 166, hexagonal axes)
Inequivalent atoms, fractional coordinates:
Cd  0.0000  0.0000  0.0798 [6 per cell]
Tc  0.0000  0.0000  0.0000 [3 per cell]
Sn  0.0000  0.0000  0.5000 [3 per cell]

Computed properties:
The formation energy comes out at 653 meV/atom.

***

A plane-wave DFT calculation with GGA-PBE was carried out for crystalline ZrV3As at its relaxed geometry.

Unit cell a=4.521 b=4.521 c=4.521 alpha=90.00 beta=90.00 gamma=90.00
Space group Pm-3m (No. 221)
Inequivalent atoms, fractional coordinates:
Zr  0.000  0.000  0.000 [1 per cell]
V  0.000  0.500  0.500 [3 per cell]
As  0.500  0.500  0.500 [1 per cell]

Computed properties:
As for the excess energy over the best structure of this formula in the dataset: 0.000 eV/atom. The formation energy comes out at 441 meV/atom.

***

A plane-wave DFT calculation with GGA-PBE was carried out for crystalline CdS2ClF at its relaxed geometry.

Unit cell a=4.146 b=4.146 c=5.794 alpha=90.00 beta=90.00 gamma=90.00
Space group P4/mmm (No. 123)
Inequivalent atoms, fractional coordinates:
Cd  0.000  0.000  0.000 [1 per cell]
S  0.000  0.500  0.500 [2 per cell]
Cl  0.500  0.500  0.000 [1 per cell]
F  0.500  0.500  0.500 [1 per cell]

Computed properties:
As for the excess energy over the best structure of this formula in the dataset: 0.000 eV/atom. Its raw formation energy is 0.236 eV per atom.

***

A plane-wave DFT calculation with GGA-PBE was carried out for crystalline GaReP2Os at its relaxed geometry.

Unit cell a=4.483 b=4.483 c=4.548 alpha=90.00 beta=90.00 gamma=90.00
Space group P4/mmm (No. 123)
Inequivalent atoms, fractional coordinates:
Ga  0.000  0.000  0.000 [1 per cell]
Re  0.500  0.500  0.500 [1 per cell]
P  0.000  0.500  0.000 [2 per cell]
Os  0.000  0.000  0.500 [1 per cell]

Computed properties:
The formation energy comes out at 1964 meV/atom.

***

A plane-wave DFT calculation with GGA-PBE was carried out for crystalline KRbTaSe4 at its relaxed geometry.

Unit cell a=7.658 b=6.430 c=10.770 alpha=90.00 beta=104.75 gamma=90.00
Space group P2_1/m (No. 11)
Inequivalent atoms, fractional coordinates:
K  0.225  0.250  0.050 [2 per cell]
Rb  0.278  0.250  0.547 [2 per cell]
Ta  0.219  0.750  0.797 [2 per cell]
Se  0.009  0.523  0.264 [4 per cell]
Se  0.353  0.750  0.022 [2 per cell]
Se  0.437  0.750  0.671 [2 per cell]

Computed properties:
Its raw formation energy is -0.918 eV per atom.

***

A plane-wave DFT calculation with GGA-PBE was carried out for crystalline Tb4SnPbC at its relaxed geometry.

Unit cell a=6.849 b=16.107 c=6.844 alpha=90.00 beta=90.00 gamma=90.00
Space group Cmcm (No. 63)
Inequivalent atoms, fractional coordinates:
Tb  0.000  0.090  0.250 [4 per cell]
Tb  0.000  0.408  0.250 [4 per cell]
Tb  0.250  0.250  0.000 [8 per cell]
Sn  0.000  0.110  0.750 [4 per cell]
Pb  0.000  0.392  0.750 [4 per cell]
C  0.000  0.250  0.250 [4 per cell]

Computed properties:
The formation energy comes out at -592 meV/atom.

***

A plane-wave DFT calculation with GGA-PBE was carried out for crystalline ScNi2Au2 at its relaxed geometry.

Unit cell a=7.195 b=7.195 c=3.137 alpha=90.00 beta=90.00 gamma=90.00
Space group P4/mbm (No. 127)
Inequivalent atoms, fractional coordinates:
Sc  0.000  0.000  0.000 [2 per cell]
Ni  0.157  0.343  0.500 [4 per cell]
Au  0.140  0.640  0.000 [4 per cell]

Computed properties:
As for the excess energy over the best structure of this formula in the dataset: 0.152 eV/atom. The formation energy comes out at -164 meV/atom.

***

| no. | final energy (eV/atom) |
| --- | --- |
| 1 | -6.53 |
| 2 | -3.40 |
| 3 | -7.67 |
| 4 | -2.34 |
| 5 | -5.54 |
| 6 | -4.90 |
| 7 | -5.66 |
| 8 | -5.05 |